(1)
{
  "formula": "VTcIr",
  "functional": "PBE",
  "state": "optimized geometry",
  "vol_a3_per_atom": 14.20,
  "delta_e_f_ev_per_fu": -0.69,
  "energy_ev_per_fu": -29.04,
  "rho_g_cm3": 13.30,
  "m_tot_mub_per_cell": 0.0,
  "cell": [[4.317, 0.000, 0.000], [0.000, 8.283, 0.000], [0.000, 0.000, 4.766]],
  "species": ["Ir", "Ir", "Ir", "Ir", "Tc", "Tc", "Tc", "Tc", "V", "V", "V", "V"],
  "fractional_positions": [[0.000, 0.000, 0.009], [0.000, 0.500, 0.509], [0.500, 0.000, 0.349], [0.500, 0.500, 0.849], [0.000, 0.167, 0.511], [0.000, 0.833, 0.511], [0.000, 0.667, 0.011], [0.000, 0.333, 0.011], [0.500, 0.833, 0.852], [0.500, 0.167, 0.852], [0.500, 0.333, 0.352], [0.500, 0.667, 0.352]]
}

(2)
{
  "formula": "Be2Rh2W",
  "functional": "PBE",
  "state": "optimized geometry",
  "vol_a3_per_atom": 11.96,
  "delta_e_f_ev_per_fu": -1.73,
  "energy_ev_per_fu": -36.84,
  "rho_g_cm3": 11.32,
  "m_tot_mub_per_cell": 0.0,
  "cell": [[-4.599, -3.125, -3.525], [4.699, -2.695, -3.741], [0.139, -2.149, 1.723]],
  "species": ["Be", "Be", "Be", "Be", "Rh", "Rh", "Rh", "Rh", "W", "W"],
  "fractional_positions": [[0.377, 0.877, 0.000], [0.877, 0.623, 0.000], [0.623, 0.123, 0.000], [0.123, 0.377, 0.000], [0.170, 0.670, 0.500], [0.670, 0.830, 0.500], [0.830, 0.330, 0.500], [0.330, 0.170, 0.500], [0.000, 0.000, 0.000], [0.500, 0.500, 0.000]]
}

(3)
{
  "formula": "CsRb2InPd",
  "functional": "PBE",
  "state": "optimized geometry",
  "vol_a3_per_atom": 48.42,
  "delta_e_f_ev_per_fu": -0.09,
  "energy_ev_per_fu": -10.81,
  "rho_g_cm3": 3.60,
  "m_tot_mub_per_cell": 0.0,
  "cell": [[-6.232, 0.133, 2.441], [-0.539, -6.594, -1.019], [1.924, -0.924, 4.963]],
  "species": ["Cs", "Rb", "Rb", "Pd", "In"],
  "fractional_positions": [[0.500, 0.500, 0.500], [0.000, 0.500, 0.000], [0.500, 0.000, 0.000], [0.000, 0.000, 0.000], [0.000, 0.000, 0.500]]
}

(4)
{
  "formula": "Tm2Cd2Os",
  "functional": "PBE",
  "state": "optimized geometry",
  "vol_a3_per_atom": 22.29,
  "delta_e_f_ev_per_fu": -1.64,
  "energy_ev_per_fu": -23.64,
  "rho_g_cm3": 11.22,
  "m_tot_mub_per_cell": 0.0,
  "cell": [[0.260, 0.610, -3.318], [0.722, -3.261, -0.543], [-9.969, -0.591, 0.834]],
  "species": ["Tm", "Tm", "Cd", "Cd", "Os"],
  "fractional_positions": [[0.584, 0.584, 0.168], [0.416, 0.416, 0.832], [0.798, 0.798, 0.596], [0.202, 0.202, 0.404], [0.000, 0.000, 0.000]]
}

(5)
{
  "formula": "KRe3C",
  "functional": "PBE",
  "state": "optimized geometry",
  "vol_a3_per_atom": 18.15,
  "delta_e_f_ev_per_fu": 25.98,
  "energy_ev_per_fu": -21.69,
  "rho_g_cm3": 11.16,
  "m_tot_mub_per_cell": 0.0,
  "cell": [[4.494, 0.000, 0.000], [0.000, 4.494, 0.000], [0.000, 0.000, 4.494]],
  "species": ["Re", "Re", "Re", "K", "C"],
  "fractional_positions": [[0.000, 0.500, 0.000], [0.000, 0.000, 0.500], [0.500, 0.000, 0.000], [0.000, 0.000, 0.000], [0.500, 0.500, 0.500]]
}

(6)
{
  "formula": "Y2Zr",
  "functional": "PBE",
  "state": "optimized geometry",
  "vol_a3_per_atom": 28.71,
  "delta_e_f_ev_per_fu": 0.31,
  "energy_ev_per_fu": -21.17,
  "rho_g_cm3": 5.19,
  "m_tot_mub_per_cell": 0.0,
  "cell": [[-1.257, 1.637, -2.737], [-0.824, -3.280, 0.564], [-6.696, 2.464, 4.548]],
  "species": ["Y", "Y", "Zr"],
  "fractional_positions": [[0.000, 0.000, 0.018], [0.333, 0.667, 0.648], [0.667, 0.333, 0.333]]
}

(7)
{
  "formula": "Tl2AgPd",
  "functional": "PBE",
  "state": "optimized geometry",
  "vol_a3_per_atom": 21.35,
  "delta_e_f_ev_per_fu": 0.18,
  "energy_ev_per_fu": -12.59,
  "rho_g_cm3": 12.11,
  "m_tot_mub_per_cell": 0.0,
  "cell": [[3.406, 0.000, 0.000], [0.000, 3.406, 0.000], [0.000, 0.000, 7.365]],
  "species": ["Tl", "Tl", "Pd", "Ag"],
  "fractional_positions": [[0.000, 0.000, 0.767], [0.000, 0.000, 0.233], [0.500, 0.500, 0.000], [0.500, 0.500, 0.500]]
}

(8)
{
  "formula": "CuSnSeO5",
  "functional": "PBE",
  "state": "optimized geometry",
  "vol_a3_per_atom": 13.58,
  "energy_ev_per_fu": -42.87,
  "rho_g_cm3": 5.22,
  "m_tot_mub_per_cell": 2.0,
  "cell": [[5.761, -0.014, -0.403], [-1.695, 5.506, -0.403], [-2.150, -2.903, 7.280]],
  "species": ["Cu", "Cu", "Sn", "Sn", "Se", "Se", "O", "O", "O", "O", "O", "O", "O", "O", "O", "O"],
  "fractional_positions": [[0.279, 0.721, 0.250], [0.721, 0.279, 0.750], [0.000, 0.000, 0.500], [0.000, 0.000, 0.000], [0.727, 0.273, 0.250], [0.273, 0.727, 0.750], [0.065, 0.935, 0.250], [0.935, 0.065, 0.750], [0.981, 0.372, 0.124], [0.019, 0.628, 0.876], [0.628, 0.019, 0.376], [0.372, 0.981, 0.624], [0.790, 0.584, 0.424], [0.210, 0.416, 0.576], [0.416, 0.210, 0.076], [0.584, 0.790, 0.924]]
}

(9)
{
  "formula": "BaPuCu2F8",
  "functional": "PBE",
  "state": "optimized geometry",
  "vol_a3_per_atom": 15.62,
  "energy_ev_per_fu": -71.20,
  "rho_g_cm3": 5.85,
  "m_tot_mub_per_cell": 3.9,
  "cell": [[5.234, 0.000, 0.000], [2.617, 4.533, 0.000], [2.617, 1.511, 7.899]],
  "species": ["Ba", "Pu", "Cu", "Cu", "F", "F", "F", "F", "F", "F", "F", "F"],
  "fractional_positions": [[0.500, 0.500, 0.500], [0.000, 0.000, 0.000], [0.238, 0.238, 0.285], [0.762, 0.762, 0.715], [0.158, 0.158, 0.527], [0.618, 0.291, 0.169], [0.842, 0.842, 0.473], [0.922, 0.618, 0.169], [0.078, 0.382, 0.831], [0.291, 0.922, 0.169], [0.709, 0.078, 0.831], [0.382, 0.709, 0.831]]
}

(10)
{
  "formula": "Rb3GeAu3",
  "functional": "PBE",
  "state": "optimized geometry",
  "vol_a3_per_atom": 34.63,
  "delta_e_f_ev_per_fu": -1.77,
  "energy_ev_per_fu": -19.13,
  "rho_g_cm3": 6.30,
  "m_tot_mub_per_cell": 0.0,
  "cell": [[4.751, 0.000, 0.716], [2.344, 6.469, 0.569], [0.052, 0.002, 15.785]],
  "species": ["Rb", "Rb", "Rb", "Rb", "Rb", "Rb", "Ge", "Ge", "Au", "Au", "Au", "Au", "Au", "Au"],
  "fractional_positions": [[0.508, 0.373, 0.612], [0.492, 0.627, 0.388], [0.247, 0.279, 0.227], [0.753, 0.721, 0.773], [0.399, 0.281, 0.921], [0.601, 0.719, 0.079], [0.774, 0.053, 0.398], [0.226, 0.947, 0.602], [0.797, 0.858, 0.548], [0.203, 0.142, 0.452], [0.097, 0.886, 0.921], [0.903, 0.114, 0.079], [0.929, 0.896, 0.246], [0.071, 0.104, 0.754]]
}

(11)
{
  "formula": "MgZr2CuRe",
  "functional": "PBE",
  "state": "optimized geometry",
  "vol_a3_per_atom": 21.90,
  "delta_e_f_ev_per_fu": 4.05,
  "energy_ev_per_fu": -31.19,
  "rho_g_cm3": 6.92,
  "m_tot_mub_per_cell": 0.0,
  "cell": [[4.905, 0.000, 0.000], [0.000, 4.551, 0.000], [0.000, 0.000, 4.905]],
  "species": ["Re", "Mg", "Cu", "Zr", "Zr"],
  "fractional_positions": [[0.000, 0.500, 0.000], [0.500, 0.500, 0.500], [0.000, 0.000, 0.000], [0.000, 0.000, 0.500], [0.500, 0.000, 0.000]]
}

(12)
{
  "formula": "LiCaNp2Te4",
  "functional": "PBE",
  "state": "optimized geometry",
  "vol_a3_per_atom": 30.55,
  "energy_ev_per_fu": -49.80,
  "rho_g_cm3": 7.01,
  "m_tot_mub_per_cell": 9.0,
  "cell": [[-0.916, 0.065, -4.307], [7.277, -1.546, -1.572], [-3.904, -6.630, 0.731]],
  "species": ["Li", "Ca", "Np", "Np", "Te", "Te", "Te", "Te"],
  "fractional_positions": [[0.500, 0.500, 0.000], [0.000, 0.000, 0.000], [0.500, 0.000, 0.500], [0.000, 0.500, 0.500], [0.500, 0.255, 0.248], [0.500, 0.745, 0.752], [0.000, 0.256, 0.754], [0.000, 0.744, 0.246]]
}